Density functional theory data (GGA-PBE) for In2SnMoSe after structural relaxation.

Cell lengths 5.549, 4.740, 5.549 Å; angles 90.00, 90.00, 90.00 degrees
Site moments in Bohr magnetons follow the coordinates.
Positions (direct):
Sn 0.500 0.500 0.500  -0.10
Se 0.000 0.000 0.000  -0.04
Mo 0.000 0.500 0.000  2.00
In 0.500 0.000 0.000  -0.03
In 0.000 0.000 0.500  0.01

Results
- DOS at the Fermi energy (states/eV/cell) = 3.2
- spin magnetization (μB per atom) = 0.421
- E_form (uncorrected) (kJ per mole of atoms) = 72.2